*one*
Entry from the Alexandria database: crystalline NbSbIrI2 at its relaxed geometry (PBE).

Summary:
Its crystal system is tetragonal.

a b c (Å): 5.332 5.332 5.593
angles (deg): 90.00 90.00 90.00
Site moments in Bohr magnetons follow the coordinates.
Element x y z (fractional)
Nb  0.000  0.000  0.000  -0.07
Sb  0.000  0.000  0.500  -0.04
I  0.500  0.000  0.000  0.04
Ir  0.500  0.500  0.500  1.79
I  0.000  0.500  0.000  0.04

*two*
Entry from the Alexandria database: crystalline NbSbIrI2 at its relaxed geometry (PBE).

Summary:
Its crystal system is tetragonal.

a b c (Å): 5.530 5.530 4.984
angles (deg): 90.00 90.00 90.00
Site moments in Bohr magnetons follow the coordinates.
Element x y z (fractional)
Nb  0.500  0.500  0.500  2.83
Ir  0.000  0.000  0.000  0.10
Sb  0.000  0.000  0.500  -0.06
I  0.000  0.500  0.000  -0.04
I  0.500  0.000  0.000  -0.04

*two* ends up most stable, edging out the next structure by 0.251 eV/atom.

*one*
Entry from the Alexandria database: crystalline Nd2IrI at its relaxed geometry (PBE).

Summary:
Its crystal system is trigonal.

a b c (Å): 4.222 4.222 8.520
angles (deg): 75.65 75.65 60.00
Element x y z (fractional)
Nd  0.061  0.061  0.816
Ir  0.667  0.667  0.999
I  0.499  0.499  0.504
Nd  0.273  0.273  0.181

*two*
Entry from the Alexandria database: crystalline Nd2IrI at its relaxed geometry (PBE).

Summary:
Its crystal system is trigonal.

a b c (Å): 4.223 4.223 8.470
angles (deg): 75.57 75.57 60.02
Element x y z (fractional)
I  0.500  0.500  0.500
Nd  0.272  0.272  0.183
Nd  0.728  0.728  0.817
Ir  0.000  0.000  0.000

*two* ends up most stable, edging out the next structure by 0.016 eV/atom.

*one*
Entry from the Alexandria database: crystalline Nd3IrI at its relaxed geometry (PBE).

Summary:
Its crystal system is monoclinic.

a b c (Å): 3.888 11.381 7.201
angles (deg): 90.00 90.00 90.06
Element x y z (fractional)
Ir  0.251  0.655  0.750
I  0.749  0.035  0.750
Nd  0.250  0.531  0.250
Nd  0.249  0.229  0.011
Ir  0.749  0.345  0.250
Nd  0.751  0.771  0.989
Nd  0.249  0.229  0.489
Nd  0.750  0.469  0.750
Nd  0.751  0.771  0.511
I  0.251  0.965  0.250

*two*
Entry from the Alexandria database: crystalline Nd3IrI at its relaxed geometry (PBE).

Summary:
Its crystal system is orthorhombic.

a b c (Å): 4.010 9.568 8.673
angles (deg): 90.00 90.00 90.00
Element x y z (fractional)
Nd  0.250  0.427  0.153
Nd  0.750  0.573  0.847
Nd  0.750  0.750  0.240
I  0.750  0.250  0.434
Ir  0.750  0.250  0.983
Ir  0.250  0.750  0.017
Nd  0.750  0.927  0.847
I  0.250  0.750  0.566
Nd  0.250  0.073  0.153
Nd  0.250  0.250  0.760

*one* ends up most stable, edging out the next structure by 0.032 eV/atom.

*one*
Entry from the Alexandria database: crystalline Nd2IrI2 at its relaxed geometry (PBE).

Summary:
Its crystal system is monoclinic.

a b c (Å): 4.233 4.233 12.323
angles (deg): 81.17 80.11 60.00
Element x y z (fractional)
I  0.448  0.915  0.188
I  0.552  0.085  0.812
Nd  0.715  0.201  0.369
Nd  0.285  0.799  0.631
Ir  0.000  0.500  0.500

*two*
Entry from the Alexandria database: crystalline Nd2IrI2 at its relaxed geometry (PBE).

Summary:
Its crystal system is monoclinic.

a b c (Å): 4.280 6.981 12.118
angles (deg): 90.45 100.17 90.00
Element x y z (fractional)
Nd  0.192  0.890  0.384
I  0.918  0.788  0.837
I  0.406  0.254  0.813
Ir  0.755  0.699  0.510
Nd  0.330  0.620  0.661
I  0.594  0.746  0.187
Nd  0.670  0.380  0.339
Ir  0.245  0.301  0.490
I  0.082  0.212  0.163
Nd  0.808  0.110  0.616

*one* ends up most stable, edging out the next structure by 0.036 eV/atom.

*one*
Entry from the Alexandria database: crystalline NiIr3I at its relaxed geometry (PBE).

Summary:
Its crystal system is cubic.

a b c (Å): 4.830 4.830 4.830
angles (deg): 90.00 90.00 90.00
Site moments in Bohr magnetons follow the coordinates.
Element x y z (fractional)
I  0.000  0.000  0.000  -0.01
Ni  0.500  0.500  0.500  0.98
Ir  0.500  0.000  0.000  0.59
Ir  0.000  0.000  0.500  0.23
Ir  0.000  0.500  0.000  0.45

*two*
Entry from the Alexandria database: crystalline NiIr3I at its relaxed geometry (PBE).

Summary:
Its crystal system is cubic.

a b c (Å): 4.576 4.576 4.576
angles (deg): 90.00 90.00 90.00
Site moments in Bohr magnetons follow the coordinates.
Element x y z (fractional)
Ir  0.000  0.500  0.000  0.99
Ir  0.500  0.000  0.000  0.68
Ir  0.000  0.000  0.500  1.14
Ni  0.000  0.000  0.000  0.77
I  0.500  0.500  0.500  0.10

*two* ends up most stable, edging out the next structure by 0.668 eV/atom.